1.
This record from Alexandria describes a relaxed structure of Th2NiAs3Rh4. The functional is PBE-GGA.

Calculated values
Its symmetry is No. 115. The raw total energy comes out at -7.256 eV/atom. Its formation energy is -83 kJ/mol of atoms. As for the crystal system: tetragonal. Its density of states at the Fermi level is 8.32 states/eV per cell.

The structure in POSCAR format:
```
Th2NiAs3Rh4
1.0
4.185 0.000 0.000
0.000 4.185 0.000
0.000 0.000 10.303
Th Ni As Rh
2 1 3 4
Direct
0.000 0.500 0.243
0.500 0.000 0.757
0.500 0.500 0.000
0.000 0.000 0.000
0.000 0.500 0.637
0.500 0.000 0.363
0.000 0.000 0.500
0.000 0.500 0.871
0.500 0.000 0.129
0.500 0.500 0.500
```

2.
This record from Alexandria describes a relaxed structure of TaTl2Se. The functional is PBE-GGA.

Calculated values
Its symmetry is No. 119. The value obtained for the raw formation energy is 0.62 eV/atom. The raw total energy comes out at -4.395 eV/atom. As for the crystal system: tetragonal. Its density of states at the Fermi level is 3.35 states/eV per cell.

The structure in POSCAR format:
```
TaTl2Se
1.0
-2.166 2.166 4.852
2.166 -2.166 4.852
2.166 2.166 -4.852
Ta Tl Se
1 2 1
Direct
0.000 0.000 0.000
0.250 0.750 0.500
0.500 0.500 0.000
0.750 0.250 0.500
```

3.
This record from Alexandria describes a relaxed structure of TaTi7Bi2H2. The functional is PBE-GGA.

Calculated values
Its symmetry is No. 12. The raw total energy comes out at -6.968 eV/atom. As for the crystal system: monoclinic. Its density of states at the Fermi level is 13.08 states/eV per cell.

The structure in POSCAR format:
```
TaTi7Bi2H2
1.0
2.927 -2.927 0.000
2.927 2.927 0.000
-2.913 0.000 11.412
Ta Ti Bi H
1 7 2 2
Direct
0.000 0.000 0.000
0.090 0.590 0.181
0.315 0.315 0.628
0.410 0.910 0.819
0.500 0.500 0.000
0.590 0.090 0.181
0.685 0.685 0.372
0.910 0.410 0.819
0.186 0.186 0.373
0.814 0.814 0.627
0.404 0.404 0.808
0.596 0.596 0.192
```

4.
This record from Alexandria describes a relaxed structure of Li3Ac2SnPd12. The functional is PBE-GGA.

Calculated values
Its symmetry is No. 166. The raw total energy comes out at -4.817 eV/atom. Its formation energy is -34 kJ/mol of atoms. As for the crystal system: trigonal. Its density of states at the Fermi level is 6.10 states/eV per cell.

The structure in POSCAR format:
```
Li3Ac2SnPd12
1.0
3.201 1.848 9.815
-3.201 1.848 9.815
0.000 -3.696 9.815
Li Ac Sn Pd
3 2 1 12
Direct
0.000 0.500 0.500
0.500 0.000 0.500
0.500 0.500 0.000
0.132 0.132 0.132
0.868 0.868 0.868
0.500 0.500 0.500
0.074 0.626 0.626
0.098 0.098 0.676
0.098 0.676 0.098
0.324 0.902 0.902
0.374 0.374 0.926
0.374 0.926 0.374
0.626 0.074 0.626
0.626 0.626 0.074
0.676 0.098 0.098
0.902 0.324 0.902
0.902 0.902 0.324
0.926 0.374 0.374
```

5.
This record from Alexandria describes a relaxed structure of KBe2Tl. The functional is PBE-GGA.

Calculated values
Its symmetry is No. 141. The raw total energy comes out at -2.047 eV/atom. Its formation energy is 66 kJ/mol of atoms. As for the crystal system: tetragonal. Its density of states at the Fermi level is 0.47 states/eV per cell.

The structure in POSCAR format:
```
KBe2Tl
1.0
-2.478 2.478 8.384
2.478 -2.478 8.384
2.478 2.478 -8.384
K Be Tl
2 4 2
Direct
0.375 0.625 0.750
0.625 0.375 0.250
0.000 0.000 0.000
0.000 0.000 0.500
0.000 0.500 0.000
0.500 0.000 0.500
0.125 0.875 0.250
0.875 0.125 0.750
```

6.
This record from Alexandria describes a relaxed structure of CdHPd. The functional is PBE-GGA.

Calculated values
Its symmetry is No. 2. The raw total energy comes out at -3.289 eV/atom. As for the crystal system: triclinic. Its density of states at the Fermi level is 2.88 states/eV per cell.

The structure in POSCAR format:
```
CdHPd
1.0
3.097 0.000 0.000
0.011 7.028 0.000
0.076 0.146 7.245
Cd H Pd
4 4 4
Direct
0.249 0.067 0.324
0.251 0.584 0.832
0.749 0.416 0.168
0.751 0.933 0.676
0.246 0.764 0.179
0.252 0.390 0.468
0.748 0.610 0.532
0.754 0.236 0.821
0.250 0.663 0.416
0.251 0.174 0.933
0.749 0.826 0.067
0.750 0.337 0.584
```

7.
This record from Alexandria describes a relaxed structure of Ho5RuSe4. The functional is PBE-GGA.

Calculated values
Its symmetry is No. 139. The value obtained for the raw formation energy is -1.42 eV/atom. The raw total energy comes out at -6.032 eV/atom. As for the crystal system: tetragonal. Its density of states at the Fermi level is 5.93 states/eV per cell.

The structure in POSCAR format:
```
Ho5RuSe4
1.0
-2.017 2.017 14.605
2.017 -2.017 14.605
2.017 2.017 -14.605
Ho Ru Se
5 1 4
Direct
0.000 0.000 0.000
0.207 0.207 0.000
0.411 0.411 0.000
0.589 0.589 0.000
0.793 0.793 0.000
0.500 0.500 0.000
0.105 0.105 0.000
0.306 0.306 0.000
0.694 0.694 0.000
0.895 0.895 0.000
```

8.
This record from Alexandria describes a relaxed structure of SrZnHg3. The functional is PBE-GGA.

Calculated values
Its symmetry is No. 221. The raw total energy comes out at -0.949 eV/atom. Its formation energy is -17 kJ/mol of atoms. As for the crystal system: cubic. Its density of states at the Fermi level is 2.15 states/eV per cell.

The structure in POSCAR format:
```
SrZnHg3
1.0
5.246 0.000 0.000
0.000 5.246 0.000
0.000 0.000 5.246
Sr Zn Hg
1 1 3
Direct
0.000 0.000 0.000
0.500 0.500 0.500
0.000 0.500 0.500
0.500 0.000 0.500
0.500 0.500 0.000
```

9.
This record from Alexandria describes a relaxed structure of PrIn5Hg4. The functional is PBE-GGA.

Calculated values
Its symmetry is No. 2. The raw total energy comes out at -2.097 eV/atom. Its formation energy is -12 kJ/mol of atoms. As for the crystal system: triclinic. Its density of states at the Fermi level is 5.21 states/eV per cell.

The structure in POSCAR format:
```
PrIn5Hg4
1.0
4.979 0.000 0.000
0.077 7.337 0.000
0.648 1.379 7.751
Pr In Hg
1 5 4
Direct
0.000 0.000 0.000
0.000 0.500 0.000
0.039 0.798 0.648
0.475 0.915 0.329
0.525 0.085 0.671
0.961 0.202 0.352
0.046 0.361 0.663
0.496 0.274 0.034
0.504 0.726 0.966
0.954 0.639 0.337
```

10.
This record from Alexandria describes a relaxed structure of Mg3Hg. The functional is PBE-GGA.

Calculated values
Its symmetry is No. 123. The raw total energy comes out at -1.367 eV/atom. Its formation energy is -9 kJ/mol of atoms. As for the crystal system: tetragonal. Its density of states at the Fermi level is 1.69 states/eV per cell.

The structure in POSCAR format:
```
Mg3Hg
1.0
3.294 0.000 0.000
0.000 3.294 0.000
0.000 0.000 8.275
Mg Hg
3 1
Direct
0.000 0.000 0.000
0.500 0.500 0.267
0.500 0.500 0.733
0.000 0.000 0.500
```

11.
This record from Alexandria describes a relaxed structure of Hf5Co4Tc. The functional is PBE-GGA.

Calculated values
Its symmetry is No. 123. The raw total energy comes out at -9.287 eV/atom. Its formation energy is -42 kJ/mol of atoms. As for the crystal system: tetragonal. Its density of states at the Fermi level is 5.73 states/eV per cell.

The structure in POSCAR format:
```
Hf5Co4Tc
1.0
3.196 0.000 0.000
0.000 3.196 0.000
0.000 0.000 15.743
Hf Co Tc
5 4 1
Direct
0.000 0.000 0.000
0.000 0.000 0.199
0.000 0.000 0.398
0.000 0.000 0.602
0.000 0.000 0.801
0.500 0.500 0.100
0.500 0.500 0.295
0.500 0.500 0.705
0.500 0.500 0.900
0.500 0.500 0.500
```

12.
This record from Alexandria describes a relaxed structure of ZnGe2Sb. The functional is PBE-GGA.

Calculated values
Its symmetry is No. 122. The value obtained for the raw formation energy is 0.15 eV/atom. The raw total energy comes out at -3.504 eV/atom. As for the crystal system: tetragonal. Its density of states at the Fermi level is 3.77 states/eV per cell.

The structure in POSCAR format:
```
ZnGe2Sb
1.0
-3.020 3.020 5.883
3.020 -3.020 5.883
3.020 3.020 -5.883
Zn Ge Sb
2 4 2
Direct
0.000 0.000 0.000
0.750 0.250 0.500
0.094 0.625 0.969
0.375 0.344 0.469
0.656 0.125 0.031
0.875 0.906 0.531
0.250 0.750 0.500
0.500 0.500 0.000
```

13.
This record from Alexandria describes a relaxed structure of MoAsCSe2. The functional is PBE-GGA.

Calculated values
Its symmetry is No. 123. The value obtained for the raw formation energy is 1.24 eV/atom. The raw total energy comes out at -5.099 eV/atom. As for the crystal system: tetragonal. Its density of states at the Fermi level is 2.85 states/eV per cell.

The structure in POSCAR format:
```
MoAsCSe2
1.0
4.358 0.000 0.000
0.000 4.358 0.000
0.000 0.000 4.242
Mo As C Se
1 1 1 2
Direct
0.000 0.000 0.000
0.500 0.500 0.000
0.500 0.500 0.500
0.000 0.500 0.500
0.500 0.000 0.500
```

14.
This record from Alexandria describes a relaxed structure of Fe2AgBiRu. The functional is PBE-GGA.

Calculated values
Its symmetry is No. 123. The raw total energy comes out at -4.871 eV/atom. Its formation energy is 166 kJ/mol of atoms. As for the crystal system: tetragonal. Its density of states at the Fermi level is 9.90 states/eV per cell.

The structure in POSCAR format:
```
Fe2AgBiRu
1.0
4.875 0.000 0.000
0.000 4.875 0.000
0.000 0.000 5.031
Fe Ag Bi Ru
2 1 1 1
Direct
0.000 0.500 0.000
0.500 0.000 0.000
0.000 0.000 0.500
0.500 0.500 0.000
0.500 0.500 0.500
```

15.
This record from Alexandria describes a relaxed structure of BaTlGe. The functional is PBE-GGA.

Calculated values
Its symmetry is No. 63. The raw total energy comes out at -3.401 eV/atom. Its formation energy is -42 kJ/mol of atoms. As for the crystal system: orthorhombic. Its density of states at the Fermi level is 2.37 states/eV per cell.

The structure in POSCAR format:
```
BaTlGe
1.0
2.523 -9.088 0.000
2.523 9.088 0.000
0.000 0.000 4.301
Ba Tl Ge
2 2 2
Direct
0.098 0.902 0.750
0.902 0.098 0.250
0.291 0.709 0.750
0.709 0.291 0.250
0.459 0.541 0.750
0.541 0.459 0.250
```

16.
This record from Alexandria describes a relaxed structure of Li2Er2ZnPd5. The functional is PBE-GGA.

Calculated values
Its symmetry is No. 127. The raw total energy comes out at -4.683 eV/atom. Its formation energy is -64 kJ/mol of atoms. As for the crystal system: tetragonal. Its density of states at the Fermi level is 10.59 states/eV per cell.

The structure in POSCAR format:
```
Li2Er2ZnPd5
1.0
9.496 0.000 0.000
0.000 9.496 0.000
0.000 0.000 3.616
Li Er Zn Pd
4 4 2 10
Direct
0.121 0.379 0.000
0.379 0.879 0.000
0.621 0.121 0.000
0.879 0.621 0.000
0.179 0.679 0.000
0.321 0.179 0.000
0.679 0.821 0.000
0.821 0.321 0.000
0.000 0.000 0.000
0.500 0.500 0.000
0.000 0.500 0.500
0.066 0.204 0.500
0.204 0.934 0.500
0.296 0.434 0.500
0.434 0.704 0.500
0.500 0.000 0.500
0.566 0.296 0.500
0.704 0.566 0.500
0.796 0.066 0.500
0.934 0.796 0.500
```

17.
This record from Alexandria describes a relaxed structure of Ca2YTl9. The functional is PBE-GGA.

Calculated values
Its symmetry is No. 123. The raw total energy comes out at -2.884 eV/atom. Its formation energy is -23 kJ/mol of atoms. As for the crystal system: tetragonal. Its density of states at the Fermi level is 7.26 states/eV per cell.

The structure in POSCAR format:
```
Ca2YTl9
1.0
4.826 0.000 0.000
0.000 4.826 0.000
0.000 0.000 14.512
Ca Y Tl
2 1 9
Direct
0.000 0.000 0.170
0.000 0.000 0.830
0.000 0.000 0.500
0.000 0.500 0.000
0.000 0.500 0.336
0.000 0.500 0.664
0.500 0.000 0.000
0.500 0.000 0.336
0.500 0.000 0.664
0.500 0.500 0.166
0.500 0.500 0.500
0.500 0.500 0.834
```

18.
This record from Alexandria describes a relaxed structure of Be2AsPt. The functional is PBE-GGA.

Calculated values
Its symmetry is No. 65. The raw total energy comes out at -4.651 eV/atom. Its formation energy is -11 kJ/mol of atoms. As for the crystal system: orthorhombic. Its density of states at the Fermi level is 1.47 states/eV per cell.

The structure in POSCAR format:
```
Be2AsPt
1.0
1.917 -1.989 0.000
1.917 1.989 0.000
0.000 0.000 7.025
Be As Pt
2 1 1
Direct
0.000 0.000 0.205
0.000 0.000 0.795
0.500 0.500 0.500
0.500 0.500 0.000
```

19.
This record from Alexandria describes a relaxed structure of Sr2GaBi. The functional is PBE-GGA.

Calculated values
Its symmetry is No. 122. The raw total energy comes out at -2.866 eV/atom. Its formation energy is -29 kJ/mol of atoms. As for the crystal system: tetragonal. Its density of states at the Fermi level is 5.37 states/eV per cell.

The structure in POSCAR format:
```
Sr2GaBi
1.0
-4.425 4.425 3.736
4.425 -4.425 3.736
4.425 4.425 -3.736
Sr Ga Bi
4 2 2
Direct
0.116 0.125 0.491
0.375 0.884 0.009
0.634 0.625 0.509
0.875 0.366 0.991
0.000 0.000 0.000
0.750 0.250 0.500
0.250 0.750 0.500
0.500 0.500 0.000
```

20.
This record from Alexandria describes a relaxed structure of Li2PuPN4. The functional is PBE-GGA.

Calculated values
Its symmetry is No. 121. The value obtained for the raw formation energy is -0.65 eV/atom. The raw total energy comes out at -7.762 eV/atom. As for the crystal system: tetragonal. Its density of states at the Fermi level is 5.24 states/eV per cell.

The structure in POSCAR format:
```
Li2PuPN4
1.0
-2.588 2.588 3.064
2.588 -2.588 3.064
2.588 2.588 -3.064
Li Pu P N
2 1 1 4
Direct
0.250 0.750 0.500
0.750 0.250 0.500
0.000 0.000 0.000
0.500 0.500 0.000
0.164 0.164 0.619
0.455 0.836 0.000
0.545 0.545 0.381
0.836 0.455 0.000
```